1.
Below is crystalline ZrTeI2N at its relaxed geometry, with properties calculated at the GGA-PBE level.

Unit cell a=6.031 b=6.031 c=4.005 alpha=90.00 beta=90.00 gamma=90.00
Element x y z (fractional)
1 Zr 0.000 0.000 0.000
2 Te 0.500 0.500 0.500
3 I 0.000 0.500 0.000
4 I 0.500 0.000 0.000
5 N 0.000 0.000 0.500

Computed properties:
For the density of states at the Fermi level, the calculation gives 4.3 states/eV/f.u. As for the size of the total moment: 0.00 μB/f.u.

---

2.
Below is crystalline ZrTeIN2 at its relaxed geometry, with properties calculated at the GGA-PBE level.

Unit cell a=4.272 b=4.272 c=6.358 alpha=90.00 beta=90.00 gamma=90.00
Element x y z (fractional)
1 Zr 0.000 0.000 0.000
2 Te 0.000 0.000 0.500
3 I 0.500 0.500 0.500
4 N 0.000 0.500 0.000
5 N 0.500 0.000 0.000

Computed properties:
For the density of states at the Fermi level, the calculation gives 3.6 states/eV/f.u. As for the size of the total moment: 0.00 μB/f.u.

---

| no. | E_form (uncorrected) (eV per atom) | relative energy among the computed polymorphs (meV per atom) |
| --- | --- | --- |
| 1 | 0.04 | 0 |
| 2 | 0.50 | 0 |